Entry from the Alexandria database: a relaxed structure of ZnAg2N (PBE).

Unit cell a=7.117 b=7.117 c=7.117 alpha=138.41 beta=138.41 gamma=60.28
Sites, in units of the cell vectors:
Zn1 0.000 0.000 0.000
Zn2 0.750 0.250 0.500
Ag1 0.243 0.625 0.118
Ag2 0.375 0.493 0.618
Ag3 0.507 0.125 0.882
Ag4 0.875 0.757 0.382
N1 0.250 0.750 0.500
N2 0.500 0.500 0.000

Summary:
**Formation energy without anion corrections**: 904 meV per atom
**Volume**: 19.65 A^3/atom
**Energy above the most stable polymorph in this dataset**: 0.000 eV/atom
**Theoretical density**: 6.24 Mg/m³
**SG**: No. 122
**N(E_F)**: 5.34 states/eV per cell

Entry from the Alexandria database: a relaxed structure of Sc6Cu2O (PBE).

Unit cell a=6.059 b=6.251 c=10.612 alpha=90.00 beta=124.38 gamma=90.00
Sites, in units of the cell vectors:
Sc1 0.142 0.018 0.247
Sc2 0.142 0.482 0.747
Sc3 0.265 0.717 0.053
Sc4 0.265 0.783 0.553
Sc5 0.338 0.215 0.053
Sc6 0.338 0.285 0.553
Sc7 0.662 0.715 0.447
Sc8 0.662 0.785 0.947
Sc9 0.735 0.217 0.447
Sc10 0.735 0.283 0.947
Sc11 0.858 0.518 0.253
Sc12 0.858 0.982 0.753
Cu1 0.274 0.046 0.751
Cu2 0.274 0.454 0.251
Cu3 0.726 0.546 0.749
Cu4 0.726 0.954 0.249
O1 0.000 0.000 0.000
O2 0.000 0.500 0.500

Summary:
**Formation energy without anion corrections**: -804 meV per atom
**Volume**: 18.43 A^3/atom
**Theoretical density**: 4.13 Mg/m³
**SG**: No. 14
**N(E_F)**: 6.60 states/eV per cell

Entry from the Alexandria database: a relaxed structure of Mo2IrRh (PBE).

Unit cell a=4.781 b=4.781 c=4.838 alpha=99.47 beta=99.47 gamma=33.65
Sites, in units of the cell vectors:
Mo1 0.000 0.000 0.000
Mo2 0.242 0.242 0.704
Ir1 0.745 0.745 0.210
Rh1 0.495 0.495 0.493

Summary:
**Formation energy**: -0.151 eV/atom
**Volume**: 15.09 A^3/atom
**Energy above the most stable polymorph in this dataset**: 0.107 eV/atom
**Theoretical density**: 13.40 Mg/m³
**SG**: No. 8
**N(E_F)**: 3.77 states/eV per cell